Record 1
DFT (PBE-GGA) results for an optimized crystal structure of BeSbOs2.

Summary:
Crystal system = cubic
Energy = -7.26 eV/atom
Volume = 230.1 Å³/cell
Formation energy (no corrections) = 0.31 eV/atom

Unit cell a=6.1279 b=6.1279 c=6.1279 alpha=90.00 beta=90.00 gamma=90.00
Closest atoms and distances in Å follow each position.
Space group Fm-3m (No. 225)
Inequivalent atoms, fractional coordinates:
Be: 0.0000 0.0000 0.0000  8 Os 2.65
Sb: 0.0000 0.0000 0.5000  8 Os 2.65
Os: 0.2500 0.2500 0.2500  4 Sb 2.65, 4 Be 2.65

Record 2
DFT (PBE-GGA) results for an optimized crystal structure of SrSmSb2.

Summary:
Crystal system = trigonal
Energy = -4.54 eV/atom
Volume = 430.2 Å³/cell
Formation energy (no corrections) = -0.88 eV/atom

Unit cell a=4.7273 b=4.7273 c=22.2305 alpha=90.00 beta=90.00 gamma=120.00
Closest atoms and distances in Å follow each position.
Space group R3m (No. 160, hexagonal axes)
Inequivalent atoms, fractional coordinates:
Sr: 0.0000 0.0000 0.0000  6 Sb 3.36-3.44
Sm: 0.0000 0.0000 0.8269  6 Sb 3.16-3.24
Sb: 0.0000 0.0000 0.4218  3 Sm 3.16, 1 Sb 3.34, 3 Sr 3.36
Sb: 0.0000 0.0000 0.5722  3 Sm 3.24, 1 Sb 3.34, 3 Sr 3.44

Record 3
DFT (PBE-GGA) results for an optimized crystal structure of AlTe2Cl.

Summary:
Crystal system = trigonal
Energy = -2.80 eV/atom
Volume = 297.5 Å³/cell
Formation energy (no corrections) = 0.17 eV/atom

Unit cell a=3.2952 b=3.2952 c=31.6333 alpha=90.00 beta=90.00 gamma=120.00
Closest atoms and distances in Å follow each position.
Space group R-3m (No. 166, hexagonal axes)
Inequivalent atoms, fractional coordinates:
Al: 0.0000 0.0000 0.0000  2 Te 2.72
Te: 0.0000 0.0000 0.0861  1 Al 2.72
Cl: 0.0000 0.0000 0.5000  6 Te 3.18, 6 Cl 3.30

Record 4
DFT (PBE-GGA) results for an optimized crystal structure of CuAgAu2F8.

Summary:
Crystal system = tetragonal
Energy = -3.30 eV/atom
Volume = 362.0 Å³/cell
Formation energy (no corrections) = -0.93 eV/atom

Unit cell a=6.6476 b=6.6476 c=8.1926 alpha=90.00 beta=90.00 gamma=90.00
Closest atoms and distances in Å follow each position.
Space group I-4m2 (No. 119)
Inequivalent atoms, fractional coordinates:
Cu: 0.0000 0.0000 0.0000  4 F 1.90
Ag: 0.0000 0.5000 0.2500  4 F 2.07
Au: 0.0000 0.0000 0.5000  4 F 2.17
Au: 0.0000 0.5000 0.7500  4 F 2.25
F: 0.0000 0.1923 0.2862  1 Ag 2.07, 1 Au 2.17
F: 0.0000 0.2807 0.9594  1 Cu 1.90

Record 5
DFT (PBE-GGA) results for an optimized crystal structure of EuHoPd4.

Summary:
Crystal system = cubic
Energy = -6.68 eV/atom
Volume = 465.2 Å³/cell
Energy of formation from the pure elements = -4.43 eV per formula unit

Unit cell a=7.7485 b=7.7485 c=7.7485 alpha=90.00 beta=90.00 gamma=90.00
Closest atoms and distances in Å follow each position.
Space group F-43m (No. 216)
Inequivalent atoms, fractional coordinates:
Eu: 0.0000 0.0000 0.0000  12 Pd 3.21, 4 Ho 3.36
Ho: 0.2500 0.2500 0.7500  12 Pd 3.21, 4 Eu 3.36
Pd: 0.1248 0.1248 0.3752  6 Pd 2.73-2.74

Record 6
DFT (PBE-GGA) results for an optimized crystal structure of CeGdC.

Summary:
Crystal system = trigonal
Energy = -9.92 eV/atom
Volume = 70.7 Å³/cell
Energy of formation from the pure elements = -0.53 eV per formula unit

Unit cell a=3.5771 b=3.5771 c=6.3807 alpha=90.00 beta=90.00 gamma=120.00
Closest atoms and distances in Å follow each position.
Space group P3m1 (No. 156)
Inequivalent atoms, fractional coordinates:
Ce: 0.0000 0.0000 0.0000  3 C 2.47
Gd: 0.3333 0.6667 0.5613  3 C 2.52
C: 0.6667 0.3333 0.7884  3 Ce 2.47, 3 Gd 2.52

Record 7
DFT (PBE-GGA) results for an optimized crystal structure of Cr3P.

Summary:
Crystal system = orthorhombic
Energy = -8.80 eV/atom
Volume = 190.2 Å³/cell
Energy of formation from the pure elements = -0.92 eV per formula unit

Unit cell a=5.7536 b=7.1071 c=4.6505 alpha=90.00 beta=90.00 gamma=90.00
Closest atoms and distances in Å follow each position.
Space group Pnma (No. 62)
Inequivalent atoms, fractional coordinates:
Cr: 0.0182 0.2500 0.1205  2 P 2.29-2.35
Cr: 0.1887 0.0442 0.6379  3 P 2.26-2.38, 2 Cr 2.51
P: 0.1085 0.7500 0.4133  8 Cr 2.26-2.38

Record 8
DFT (PBE-GGA) results for an optimized crystal structure of TmThAsN.

Summary:
Crystal system = tetragonal
Energy = -7.47 eV/atom
Volume = 175.5 Å³/cell
Formation energy (no corrections) = -1.26 eV/atom

Unit cell a=4.3738 b=4.3738 c=9.1722 alpha=90.00 beta=90.00 gamma=90.00
Closest atoms and distances in Å follow each position.
Space group P4/nmm (No. 129, origin choice 2)
Inequivalent atoms, fractional coordinates:
Tm: 0.2500 0.7500 0.0000  4 As 2.81, 4 Tm 3.09
Th: 0.2500 0.2500 0.3892  4 N 2.41
As: 0.2500 0.2500 0.8068  4 Tm 2.81
N: 0.2500 0.7500 0.5000  4 Th 2.41

Record 9
DFT (PBE-GGA) results for an optimized crystal structure of BaPuP2Pt2.

Summary:
Crystal system = trigonal
Energy = -7.57 eV/atom
Volume = 131.5 Å³/cell
Energy of formation from the pure elements = -6.28 eV per formula unit

Unit cell a=4.1871 b=4.1871 c=8.6579 alpha=90.00 beta=90.00 gamma=120.00
Closest atoms and distances in Å follow each position.
Space group P-3m1 (No. 164)
Inequivalent atoms, fractional coordinates:
Ba: 0.0000 0.0000 0.0000  6 Pt 3.39, 6 P 3.47
Pu: 0.0000 0.0000 0.5000  6 P 3.04, 6 Pt 3.10
P: 0.3333 0.6667 0.7123  3 Pt 2.42
Pt: 0.3333 0.6667 0.2750  3 P 2.42

Record 10
DFT (PBE-GGA) results for an optimized crystal structure of RbBaAsO4.

Summary:
Crystal system = orthorhombic
Energy = -5.90 eV/atom
Volume = 563.8 Å³/cell
Formation energy (no corrections) = -1.99 eV/atom

Unit cell a=6.6151 b=10.6134 c=8.0310 alpha=90.00 beta=90.00 gamma=90.00
Closest atoms and distances in Å follow each position.
Space group Cmcm (No. 63)
Inequivalent atoms, fractional coordinates:
Rb: 0.0000 0.0000 0.0000  6 O 2.82-2.86
Ba: 0.0000 0.3201 0.2500  4 O 2.69-2.74
As: 0.0000 0.3577 0.7500  4 O 1.72-1.73
O: 0.0000 0.2631 0.5758  1 As 1.72
O: 0.2082 0.4568 0.7500  1 As 1.73

Record 11
DFT (PBE-GGA) results for an optimized crystal structure of Fe2As2Cl.

Summary:
Crystal system = tetragonal
Energy = -5.49 eV/atom
Volume = 158.2 Å³/cell
Formation energy (no corrections) = 0.12 eV/atom

Unit cell a=7.1611 b=7.1611 c=3.0855 alpha=90.00 beta=90.00 gamma=90.00
Closest atoms and distances in Å follow each position.
Space group P4/mbm (No. 127)
Inequivalent atoms, fractional coordinates:
Fe: 0.1358 0.3642 0.0000  6 As 2.51-2.73, 1 Fe 2.75, 2 Cl 2.78
As: 0.1414 0.6414 0.5000  6 Fe 2.51-2.73
Cl: 0.0000 0.0000 0.0000  4 Fe 2.78, 2 Cl 3.09

Record 12
DFT (PBE-GGA) results for an optimized crystal structure of CsPrCuTe2.

Summary:
Crystal system = monoclinic
Energy = -4.00 eV/atom
Volume = 395.0 Å³/cell
Formation energy (no corrections) = -0.80 eV/atom

Unit cell a=9.3448 b=4.8728 c=8.7781 alpha=90.00 beta=98.80 gamma=90.00
Closest atoms and distances in Å follow each position.
Space group P2/c (No. 13)
Inequivalent atoms, fractional coordinates:
Cs: 0.0000 0.2148 0.2500  6 Te 3.84-3.87
Pr: 0.5000 0.4926 0.7500  4 Te 3.18-3.19, 4 Cu 3.25-3.31
Cu: 0.5000 0.0000 0.0000  2 Te 2.48
Te: 0.2769 0.2845 0.9665  1 Cu 2.48